Entry 1:
This record from the Alexandria database describes Y3FeB7 after structural relaxation. The functional is GGA-PBEsol.

Unit cell a=7.9739 b=7.9739 c=9.2372 alpha=90.00 beta=90.00 gamma=155.55
Last column: nearest neighbours and their distance in Å.
Fractional positions:
Y 0.1048 0.8952 0.5604  11 B 2.58-2.69
Y 0.1048 0.8952 0.9396  11 B 2.58-2.69
Y 0.2426 0.7574 0.2500  10 B 2.60-2.65
Y 0.7574 0.2426 0.7500  10 B 2.60-2.65
Y 0.8952 0.1048 0.0604  11 B 2.58-2.69
Y 0.8952 0.1048 0.4396  11 B 2.58-2.69
Fe 0.0539 0.9461 0.2500  10 B 2.24-2.25
Fe 0.9461 0.0539 0.7500  10 B 2.24-2.25
B 0.2725 0.7275 0.5326  3 B 1.89-1.92
B 0.2725 0.7275 0.9674  3 B 1.89-1.92
B 0.3701 0.6299 0.6532  3 B 1.76-1.89
B 0.3701 0.6299 0.8468  3 B 1.76-1.89
B 0.4597 0.5403 0.2500  2 B 1.70
B 0.4783 0.5217 0.5984  2 B 1.70-1.76
B 0.4783 0.5217 0.9016  2 B 1.70-1.76
B 0.5217 0.4783 0.0984  2 B 1.70-1.76
B 0.5217 0.4783 0.4016  2 B 1.70-1.76
B 0.5403 0.4597 0.7500  2 B 1.70
B 0.6299 0.3701 0.1532  3 B 1.76-1.89
B 0.6299 0.3701 0.3468  3 B 1.76-1.89
B 0.7275 0.2725 0.0326  3 B 1.89-1.92
B 0.7275 0.2725 0.4674  3 B 1.89-1.92

## Properties
- calculated formation energy (eV per formula unit) = -7.398
- density (g cm⁻³) = 5.4
- calculated total energy (eV per atom) = -7.813
- calculated volume (Å³ per cell) = 243.1
- spin magnetization (μB/atom) = 0.000

=====

Entry 2:
This record from the Alexandria database describes Lu3Fe2Si3 after structural relaxation. The functional is GGA-PBEsol.

Unit cell a=5.4310 b=5.4310 c=13.1690 alpha=90.00 beta=90.00 gamma=136.83
Last column: nearest neighbours and their distance in Å.
Fractional positions:
Lu 0.0810 0.9190 0.6122  7 Si 2.85-3.16, 4 Fe 2.88-3.00
Lu 0.0810 0.9190 0.8878  7 Si 2.85-3.16, 4 Fe 2.88-3.00
Lu 0.3651 0.6349 0.7500  4 Si 2.77-2.78, 4 Fe 3.09
Lu 0.6349 0.3651 0.2500  4 Si 2.77-2.78, 4 Fe 3.09
Lu 0.9190 0.0810 0.1122  7 Si 2.85-3.16, 4 Fe 2.88-3.00
Lu 0.9190 0.0810 0.3878  7 Si 2.85-3.16, 4 Fe 2.88-3.00
Fe 0.2137 0.7863 0.0814  4 Si 2.27-2.49
Fe 0.2137 0.7863 0.4186  4 Si 2.27-2.49
Fe 0.7863 0.2137 0.5814  4 Si 2.27-2.49
Fe 0.7863 0.2137 0.9186  4 Si 2.27-2.49
Si 0.3256 0.6744 0.2500  2 Fe 2.49, 2 Lu 2.77
Si 0.3787 0.6213 0.5395  3 Fe 2.27-2.30
Si 0.3787 0.6213 0.9605  3 Fe 2.27-2.30
Si 0.6213 0.3787 0.0395  3 Fe 2.27-2.30
Si 0.6213 0.3787 0.4605  3 Fe 2.27-2.30
Si 0.6744 0.3256 0.7500  2 Fe 2.49, 2 Lu 2.77

## Properties
- density (g cm⁻³) = 9.0
- calculated total energy (eV per atom) = -6.998
- ΔE_f (raw) (eV per atom) = -0.77
- calculated volume (Å³ per cell) = 265.7
- spin magnetization (μB/atom) = 0.000

=====

Entry 3:
This record from the Alexandria database describes TlSbN3 after structural relaxation. The functional is GGA-PBEsol.

Unit cell a=4.1069 b=4.1069 c=4.1069 alpha=90.00 beta=90.00 gamma=90.00
Last column: nearest neighbours and their distance in Å.
Fractional positions:
Tl 0.0000 0.0000 0.0000  12 N 2.90
Sb 0.5000 0.5000 0.5000  6 N 2.05
N 0.0000 0.5000 0.5000  2 Sb 2.05
N 0.5000 0.0000 0.5000  2 Sb 2.05
N 0.5000 0.5000 0.0000  2 Sb 2.05

## Properties
- density (g cm⁻³) = 8.8
- calculated total energy (eV per atom) = -5.202
- ΔE_f (raw) (eV per atom) = 1.35
- calculated volume (Å³ per cell) = 69.3
- spin magnetization (μB/atom) = 0.001

=====

Entry 4:
This record from the Alexandria database describes Cd2H3ClO3 after structural relaxation. The functional is GGA-PBEsol.

Unit cell a=6.7436 b=7.4505 c=9.8066 alpha=90.00 beta=90.00 gamma=90.00
Last column: nearest neighbours and their distance in Å.
Fractional positions:
Cd 0.0000 0.0000 0.0000  4 O 2.23-2.24
Cd 0.0000 0.5000 0.0000  4 O 2.23-2.24
Cd 0.1777 0.2500 0.2679  5 O 2.27-2.35
Cd 0.3223 0.7500 0.7679  5 O 2.27-2.35
Cd 0.5000 0.0000 0.5000  4 O 2.23-2.24
Cd 0.5000 0.5000 0.5000  4 O 2.23-2.24
Cd 0.6777 0.2500 0.2321  5 O 2.27-2.35
Cd 0.8223 0.7500 0.7321  5 O 2.27-2.35
H 0.0898 0.0506 0.7191  1 O 0.98
H 0.0898 0.4494 0.7191  1 O 0.98
H 0.1873 0.7500 0.4887  1 O 0.98
H 0.3127 0.2500 0.9887  1 O 0.98
H 0.4102 0.5506 0.2191  1 O 0.98
H 0.4102 0.9494 0.2191  1 O 0.98
H 0.5898 0.0506 0.7809  1 O 0.98
H 0.5898 0.4494 0.7809  1 O 0.98
H 0.6873 0.7500 0.0113  1 O 0.98
H 0.8127 0.2500 0.5113  1 O 0.98
H 0.9102 0.5506 0.2809  1 O 0.98
H 0.9102 0.9494 0.2809  1 O 0.98
Cl 0.1844 0.2500 0.5455  3 H 2.35-2.53
Cl 0.3156 0.7500 0.0455  3 H 2.35-2.53
Cl 0.6844 0.2500 0.9545  3 H 2.35-2.53
Cl 0.8156 0.7500 0.4545  3 H 2.35-2.53
O 0.0679 0.5518 0.7806  1 H 0.98
O 0.0679 0.9482 0.7806  1 H 0.98
O 0.1794 0.2500 0.0286  1 H 0.98
O 0.3206 0.7500 0.5286  1 H 0.98
O 0.4321 0.0518 0.2806  1 H 0.98
O 0.4321 0.4482 0.2806  1 H 0.98
O 0.5679 0.5518 0.7194  1 H 0.98
O 0.5679 0.9482 0.7194  1 H 0.98
O 0.6794 0.2500 0.4714  1 H 0.98
O 0.8206 0.7500 0.9714  1 H 0.98
O 0.9321 0.0518 0.2194  1 H 0.98
O 0.9321 0.4482 0.2194  1 H 0.98

## Properties
- density (g cm⁻³) = 4.2
- calculated total energy (eV per atom) = -4.413
- calculated volume (Å³ per cell) = 492.7
- spin magnetization (μB/atom) = 0.000

=====

Entry 5:
This record from the Alexandria database describes YMg2Se after structural relaxation. The functional is GGA-PBEsol.

Unit cell a=8.3372 b=8.3372 c=5.6755 alpha=90.00 beta=90.00 gamma=90.00
Last column: nearest neighbours and their distance in Å.
Fractional positions:
Y 0.0000 0.0000 0.0000  2 Se 2.84
Y 0.0000 0.5000 0.2500  2 Se 2.84
Y 0.5000 0.0000 0.7500  2 Se 2.84
Y 0.5000 0.5000 0.5000  2 Se 2.84
Mg 0.1957 0.7500 0.6250  2 Se 2.74, 2 Mg 2.98
Mg 0.2500 0.1957 0.3750  2 Se 2.74, 2 Mg 2.98
Mg 0.2500 0.3043 0.8750  2 Se 2.74, 2 Mg 2.98
Mg 0.3043 0.7500 0.1250  2 Se 2.74, 2 Mg 2.98
Mg 0.6957 0.2500 0.1250  2 Se 2.74, 2 Mg 2.98
Mg 0.7500 0.6957 0.8750  2 Se 2.74, 2 Mg 2.98
Mg 0.7500 0.8043 0.3750  2 Se 2.74, 2 Mg 2.98
Mg 0.8043 0.2500 0.6250  2 Se 2.74, 2 Mg 2.98
Se 0.0000 0.0000 0.5000  4 Mg 2.74, 2 Y 2.84
Se 0.0000 0.5000 0.7500  4 Mg 2.74, 2 Y 2.84
Se 0.5000 0.0000 0.2500  4 Mg 2.74, 2 Y 2.84
Se 0.5000 0.5000 0.0000  4 Mg 2.74, 2 Y 2.84

## Properties
- density (g cm⁻³) = 3.6
- calculated total energy (eV per atom) = -4.045
- ΔE_f (raw) (eV per atom) = -0.52
- calculated volume (Å³ per cell) = 394.5
- spin magnetization (μB/atom) = 0.000

=====

Entry 6:
This record from the Alexandria database describes MnSbI2Br after structural relaxation. The functional is GGA-PBEsol.

Unit cell a=5.7579 b=5.7579 c=5.5533 alpha=90.00 beta=90.00 gamma=90.00
Last column: nearest neighbours and their distance in Å.
Fractional positions:
Mn 0.0000 0.0000 0.0000  8 I 4.00, 4 Sb 4.07
Sb 0.5000 0.5000 0.0000  2 Br 2.78
I 0.0000 0.5000 0.5000  2 Br 2.88
I 0.5000 0.0000 0.5000  2 Br 2.88
Br 0.5000 0.5000 0.5000  2 Sb 2.78, 4 I 2.88

## Properties
- density (g cm⁻³) = 4.6
- calculated total energy (eV per atom) = -2.931
- ΔE_f (raw) (eV per atom) = 1.01
- calculated volume (Å³ per cell) = 184.1
- spin magnetization (μB/atom) = 0.936

=====

Entry 7:
This record from the Alexandria database describes CaLa2Ru after structural relaxation. The functional is GGA-PBEsol.

Unit cell a=4.0317 b=4.0317 c=28.6041 alpha=90.00 beta=90.00 gamma=120.00
Last column: nearest neighbours and their distance in Å.
Fractional positions:
Ca 0.0000 0.0000 0.0000  6 La 3.99, 6 Ca 4.03
Ca 0.3333 0.6667 0.6667  6 La 3.99, 6 Ca 4.03
Ca 0.6667 0.3333 0.3333  6 La 3.99, 6 Ca 4.03
La 0.0000 0.0000 0.2198  3 Ru 2.78
La 0.0000 0.0000 0.7802  3 Ru 2.78
La 0.3333 0.6667 0.4468  3 Ru 2.78
La 0.3333 0.6667 0.8865  3 Ru 2.78
La 0.6667 0.3333 0.1135  3 Ru 2.78
La 0.6667 0.3333 0.5532  3 Ru 2.78
Ru 0.0000 0.0000 0.5000  6 La 2.78
Ru 0.3333 0.6667 0.1667  6 La 2.78
Ru 0.6667 0.3333 0.8333  6 La 2.78

## Properties
- calculated formation energy (eV per formula unit) = -0.353
- density (g cm⁻³) = 5.2
- calculated total energy (eV per atom) = -5.838
- relative energy among the computed polymorphs (kJ per mole of atoms) = 0.0
- calculated volume (Å³ per cell) = 402.7
- spin magnetization (μB/atom) = 0.000

=====

Entry 8:
This record from the Alexandria database describes SrInSb2 after structural relaxation. The functional is GGA-PBEsol.

Unit cell a=3.4991 b=5.6964 c=5.6979 alpha=90.00 beta=90.02 gamma=90.00
Last column: nearest neighbours and their distance in Å.
Fractional positions:
Sr 0.0000 0.0000 0.0000  8 Sb 3.34-3.35, 2 Sr 3.50
In 0.0016 0.5000 0.5010  8 Sb 3.34-3.35, 2 In 3.50
Sb 0.4996 0.0000 0.5001  4 In 3.34-3.35, 4 Sr 3.34-3.35, 2 Sb 3.50
Sb 0.5008 0.5000 0.0016  4 In 3.34-3.35, 4 Sr 3.34, 2 Sb 3.50

## Properties
- density (g cm⁻³) = 6.5
- calculated total energy (eV per atom) = -3.879
- ΔE_f (raw) (eV per atom) = -0.39
- calculated volume (Å³ per cell) = 113.6
- spin magnetization (μB/atom) = 0.000

=====

Entry 9:
This record from the Alexandria database describes GaPNO2 after structural relaxation. The functional is GGA-PBEsol.

Unit cell a=3.7263 b=3.7263 c=3.8587 alpha=90.00 beta=90.00 gamma=90.00
Last column: nearest neighbours and their distance in Å.
Fractional positions:
Ga 0.0000 0.0000 0.0000  4 O 1.86, 2 N 1.93
P 0.5000 0.5000 0.5000  4 N 2.63, 8 O 2.68
N 0.0000 0.0000 0.5000  2 Ga 1.93
O 0.0000 0.5000 0.0000  2 Ga 1.86
O 0.5000 0.0000 0.0000  2 Ga 1.86

## Properties
- density (g cm⁻³) = 4.5
- calculated total energy (eV per atom) = -5.265
- ΔE_f (raw) (eV per atom) = 0.37
- calculated volume (Å³ per cell) = 53.6
- spin magnetization (μB/atom) = 0.001

=====

Entry 10:
This record from the Alexandria database describes Li11Nb4Ni9O24 after structural relaxation. The functional is GGA-PBEsol.

Unit cell a=5.1808 b=9.1736 c=9.6671 alpha=73.33 beta=80.61 gamma=79.39
Last column: nearest neighbours and their distance in Å.
Fractional positions:
Li 0.0000 0.0000 0.0000  6 O 2.04-2.18
Li 0.0313 0.8382 0.5456  6 O 2.04-2.27
Li 0.1709 0.3335 0.1641  6 O 2.06-2.23
Li 0.3289 0.6700 0.3336  6 O 2.03-2.18
Li 0.3724 0.4944 0.8781  6 O 2.04-2.11
Li 0.4573 0.1552 0.9618  6 O 2.02-2.15
Li 0.4922 0.9994 0.5028  6 O 2.03-2.18
Li 0.5418 0.8380 0.0380  6 O 2.04-2.27
Li 0.6531 0.3344 0.6720  6 O 2.05-2.25
Li 0.8278 0.6714 0.8335  6 O 2.05-2.14
Li 0.9588 0.1532 0.4636  6 O 2.01-2.19
Nb 0.2882 0.8298 0.7936  6 O 2.00-2.04
Nb 0.4139 0.3332 0.4178  6 O 1.99-2.04
Nb 0.7884 0.8333 0.2934  6 O 2.00-2.07
Nb 0.9125 0.3358 0.9171  6 O 2.01-2.04
Ni 0.0840 0.6636 0.0812  6 O 2.06-2.09
Ni 0.1172 0.5069 0.6314  6 O 2.01-2.12
Ni 0.2008 0.1672 0.7121  6 O 2.04-2.11
Ni 0.2462 0.0059 0.2491  6 O 2.06-2.11
Ni 0.5758 0.6639 0.5895  6 O 2.06-2.09
Ni 0.6210 0.5068 0.1178  6 O 2.01-2.11
Ni 0.7075 0.1664 0.2070  6 O 2.03-2.10
Ni 0.7430 0.0079 0.7497  6 O 2.06-2.09
Ni 0.8692 0.5036 0.3754  6 O 2.03-2.16
O 0.0521 0.3383 0.5387  1 Nb 2.04, 3 Ni 2.07-2.10, 2 Li 2.18-2.25
O 0.0703 0.1698 0.0831  1 Nb 2.03, 3 Li 2.06-2.15, 2 Ni 2.06
O 0.1179 0.9987 0.6326  3 Li 2.01-2.13, 1 Nb 2.04, 2 Ni 2.05-2.08
O 0.1428 0.8321 0.1750  1 Nb 2.00, 2 Li 2.03-2.07, 2 Ni 2.09-2.11
O 0.2089 0.6704 0.7088  1 Nb 2.00, 2 Ni 2.01-2.06, 3 Li 2.06-2.14
O 0.2555 0.4994 0.2513  1 Nb 2.04, 2 Li 2.06-2.08, 3 Ni 2.08-2.16
O 0.2726 0.3341 0.7956  1 Nb 2.04, 2 Ni 2.04-2.05, 3 Li 2.04-2.14
O 0.3377 0.1714 0.3346  1 Nb 2.00, 3 Li 2.06-2.15, 2 Ni 2.08-2.10
O 0.3756 0.9983 0.8707  3 Li 2.02-2.13, 2 Ni 2.04-2.07, 1 Nb 2.04
O 0.4329 0.8326 0.4113  1 Nb 2.00, 2 Li 2.04-2.06, 2 Ni 2.09-2.10
O 0.4478 0.6704 0.9585  1 Nb 2.00, 2 Ni 2.01-2.06, 3 Li 2.07-2.14
O 0.4872 0.4998 0.5013  1 Nb 2.04, 2 Li 2.06-2.08, 3 Ni 2.08-2.15
O 0.5534 0.3333 0.0406  2 Ni 2.03-2.05, 1 Nb 2.04, 3 Li 2.04-2.15
O 0.5700 0.1726 0.5817  1 Nb 1.99, 3 Li 2.06-2.15, 2 Ni 2.07-2.11
O 0.6170 0.9958 0.1328  1 Nb 2.01, 3 Li 2.04-2.18, 2 Ni 2.05-2.06
O 0.6438 0.8370 0.6730  1 Nb 2.01, 3 Li 2.03-2.18, 2 Ni 2.08-2.09
O 0.7156 0.6657 0.2059  3 Ni 2.03-2.08, 1 Nb 2.07, 2 Li 2.10-2.18
O 0.7470 0.4982 0.7556  1 Nb 2.01, 3 Li 2.06-2.10, 2 Ni 2.06-2.09
O 0.7727 0.3374 0.2938  1 Nb 2.04, 3 Ni 2.07-2.10, 2 Li 2.19-2.23
O 0.8358 0.1711 0.8344  1 Nb 2.02, 3 Li 2.05-2.14, 2 Ni 2.06
O 0.8771 0.9964 0.3715  1 Nb 2.01, 3 Li 2.03-2.18, 2 Ni 2.06-2.08
O 0.9301 0.8366 0.9111  1 Nb 2.01, 3 Li 2.04-2.18, 2 Ni 2.08-2.09
O 0.9436 0.6658 0.4642  3 Ni 2.04-2.08, 1 Nb 2.06, 2 Li 2.10-2.18
O 0.9957 0.4979 0.9982  1 Nb 2.01, 2 Ni 2.06-2.09, 3 Li 2.06-2.10

## Properties
- density (g cm⁻³) = 5.3
- calculated total energy (eV per atom) = -6.801
- ΔE_f (raw) (eV per atom) = -1.67
- calculated volume (Å³ per cell) = 429.6
- spin magnetization (μB/atom) = 0.354

=====

Entry 11:
This record from the Alexandria database describes K2NaPrCl6 after structural relaxation. The functional is GGA-PBEsol.

Unit cell a=7.6043 b=7.6043 c=7.6043 alpha=60.00 beta=60.00 gamma=60.00
Last column: nearest neighbours and their distance in Å.
Fractional positions:
K 0.2500 0.2500 0.2500  12 Cl 3.80
K 0.7500 0.7500 0.7500  12 Cl 3.80
Na 0.0000 0.0000 0.0000  6 Cl 2.67
Pr 0.5000 0.5000 0.5000  6 Cl 2.70
Cl 0.2485 0.2485 0.7515  1 Na 2.67, 1 Pr 2.70
Cl 0.2485 0.7515 0.2485  1 Na 2.67, 1 Pr 2.70
Cl 0.2485 0.7515 0.7515  1 Na 2.67, 1 Pr 2.70
Cl 0.7515 0.2485 0.2485  1 Na 2.67, 1 Pr 2.70
Cl 0.7515 0.2485 0.7515  1 Na 2.67, 1 Pr 2.70
Cl 0.7515 0.7515 0.2485  1 Na 2.67, 1 Pr 2.70

## Properties
- density (g cm⁻³) = 2.4
- calculated total energy (eV per atom) = -4.085
- ΔE_f (raw) (eV per atom) = -2.00
- calculated volume (Å³ per cell) = 310.9
- spin magnetization (μB/atom) = 0.000

=====

Question: Look up the density of the first one.
Answer: 5.4 g cm⁻³